i | Entry from Alexandria: a relaxed structure of TbCe2Th (PBE).

Cell: 4.9910 4.8898 4.8898 Å, 90.00 90.00 90.00°
Site moments in Bohr magnetons follow the coordinates.
Atoms (fractional coordinates):
Tb1 0.5000 0.5000 0.5000  0.01
Ce1 0.0000 0.0000 0.5000  0.18
Ce2 0.0000 0.5000 0.0000  0.18
Th1 0.5000 0.0000 0.0000  0.02

Properties
Space group   P4/mmm (123)
N(E_F)   2.6670 states/eV/atom
Magnetization   0.49 μB per formula unit

***

ii | Entry from Alexandria: a relaxed structure of TbCe2Th (PBE).

Cell: 5.9401 3.4099 9.0280 Å, 138.76 90.00 90.00°
Site moments in Bohr magnetons follow the coordinates.
Atoms (fractional coordinates):
Tb1 0.5000 0.5000 0.0000  0.03
Ce1 0.0000 0.6619 0.7278  0.47
Ce2 0.0000 0.3381 0.2722  0.47
Th1 0.5000 0.0000 0.5000  0.02

Properties
Space group   P2/m (10)
N(E_F)   2.6588 states/eV/atom
Magnetization   1.24 μB per formula unit

***

Ranked by calculated energy, most stable first: i, ii.

***

i | Entry from Alexandria: a relaxed structure of Tb2CeTh (PBE).

Cell: 5.0624 4.9815 4.9815 Å, 90.00 90.00 90.00°
Site moments in Bohr magnetons follow the coordinates.
Atoms (fractional coordinates):
Tb1 0.0000 0.0000 0.5000  0.03
Tb2 0.0000 0.5000 0.0000  0.03
Ce1 0.5000 0.5000 0.5000  0.61
Th1 0.5000 0.0000 0.0000  0.05

Properties
Space group   P4/mmm (123)
N(E_F)   2.0752 states/eV/atom
Magnetization   0.90 μB per formula unit

***

ii | Entry from Alexandria: a relaxed structure of Tb2CeTh (PBE).

Cell: 3.5518 3.5511 11.4311 Å, 90.00 90.00 59.99°
Atoms (fractional coordinates):
Tb1 0.0441 0.6666 0.5314
Tb2 0.3781 0.9992 0.2783
Ce1 0.3771 0.9996 0.7784
Th1 0.7114 0.3317 0.0227

Properties
Space group   P3m1 (156)
N(E_F)   1.8255 states/eV/atom
Magnetization   0.00 μB per formula unit

***

Ranked by calculated energy, most stable first: ii, i.

***

i | Entry from Alexandria: a relaxed structure of Tb2CeTh (PBE).

Cell: 3.4645 3.4645 12.4193 Å, 81.98 81.98 60.00°
Site moments in Bohr magnetons follow the coordinates.
Atoms (fractional coordinates):
Tb1 0.0902 0.0902 0.7294  -0.01
Tb2 0.9098 0.9098 0.2706  -0.01
Ce1 0.0000 0.0000 0.0000  0.74
Th1 0.5000 0.5000 0.5000  -0.01

Properties
Space group   R-3m (166)
N(E_F)   1.9133 states/eV/atom
Magnetization   0.87 μB per formula unit

***

ii | Entry from Alexandria: a relaxed structure of Tb2CeTh (PBE).

Cell: 4.7814 4.7649 11.3781 Å, 90.00 102.26 90.00°
Atoms (fractional coordinates):
Tb1 0.5620 0.2500 0.1224
Tb2 0.4380 0.7500 0.8776
Tb3 0.0625 0.7500 0.1234
Tb4 0.9375 0.2500 0.8766
Ce1 0.6869 0.7500 0.3694
Ce2 0.3131 0.2500 0.6306
Th1 0.1864 0.2500 0.3689
Th2 0.8136 0.7500 0.6311

Properties
Space group   P2_1/m (11)
N(E_F)   2.0845 states/eV/atom
Magnetization   0.00 μB per formula unit

***

iii | Entry from Alexandria: a relaxed structure of Tb2CeTh (PBE).

Cell: 3.5198 3.5198 10.2112 Å, 90.00 90.00 90.00°
Site moments in Bohr magnetons follow the coordinates.
Atoms (fractional coordinates):
Tb1 0.0000 0.0000 0.7517  0.03
Tb2 0.0000 0.0000 0.2483  0.03
Ce1 0.5000 0.5000 0.5000  0.79
Th1 0.5000 0.5000 0.0000  -0.01

Properties
Space group   P4/mmm (123)
N(E_F)   1.8694 states/eV/atom
Magnetization   1.04 μB per formula unit

***

Ranked by calculated energy, most stable first: iii, i, ii.

***

i | Entry from Alexandria: a relaxed structure of Tb2CeTh (PBE).

Cell: 3.5330 3.5330 11.7751 Å, 81.37 81.37 60.00°
Site moments in Bohr magnetons follow the coordinates.
Atoms (fractional coordinates):
Tb1 0.0817 0.0817 0.7549  -0.02
Tb2 0.2515 0.2515 0.2454  -0.01
Ce1 0.6666 0.6666 0.0003  0.49
Th1 0.5002 0.5002 0.4994  -0.01

Properties
Space group   R3m (160)
N(E_F)   1.9682 states/eV/atom
Magnetization   0.53 μB per formula unit

***

ii | Entry from Alexandria: a relaxed structure of Tb2CeTh (PBE).

Cell: 5.6547 5.6547 5.6547 Å, 60.00 60.00 60.00°
Site moments in Bohr magnetons follow the coordinates.
Atoms (fractional coordinates):
Tb1 0.2500 0.2500 0.2500  0.01
Tb2 0.7500 0.7500 0.7500  0.01
Ce1 0.5000 0.5000 0.5000  0.62
Th1 0.0000 0.0000 0.0000  0.01

Properties
Space group   Fm-3m (225)
N(E_F)   2.8294 states/eV/atom
Magnetization   0.80 μB per formula unit

***

Ranked by calculated energy, most stable first: i, ii.